VASP calculation (GGA-PBE) on NdZnGaAu after structural relaxation.

Structure (extended XYZ):
```
4
Lattice="0.000 3.472 3.472 3.472 0.000 3.472 3.472 3.472 0.000" Properties=species:S:1:pos:R:3 pbc="T T T"
Nd 0.000 0.000 0.000
Zn 5.207 5.207 5.207
Ga 3.472 3.472 3.472
Au 1.736 1.736 1.736
```

For the energy relative to the elements, the calculation gives -187 kJ/mol of formula units.



VASP calculation (GGA-PBE) on Nd3ZnGa2Au6 after structural relaxation.

Structure (extended XYZ):
```
12
Lattice="6.145 0.000 0.000 -3.072 5.321 0.000 0.000 0.000 8.433" Properties=species:S:1:pos:R:3 pbc="T T T"
Nd 0.000 0.000 0.000
Nd 0.000 3.548 5.327
Nd 3.072 1.774 3.106
Zn 0.000 0.000 4.216
Ga 0.000 3.548 0.135
Ga 3.072 1.774 8.297
Au 0.000 1.886 2.372
Au -1.439 4.379 2.372
Au 1.633 0.943 6.060
Au 1.439 4.379 2.372
Au 4.512 0.943 6.060
Au 3.072 3.436 6.060
```

For the energy relative to the elements, the calculation gives -572 kJ/mol of formula units.



VASP calculation (GGA-PBE) on Ga2Ni2Au after structural relaxation.

Structure (extended XYZ):
```
5
Lattice="-1.801 1.801 5.816 1.801 -1.801 5.816 1.801 1.801 -5.816" Properties=species:S:1:pos:R:3 pbc="T T T"
Ga 0.000 0.000 1.306
Ga 0.000 0.000 10.326
Ni 1.801 0.000 2.908
Ni 0.000 1.801 2.908
Au 0.000 0.000 5.816
```

For the energy relative to the elements, the calculation gives -32 kJ/mol of formula units. As for the offset from the most stable computed form: 101.3 kJ/mol of formula units.



VASP calculation (GGA-PBE) on Ga6Ni12Au after structural relaxation.

Structure (extended XYZ):
```
19
Lattice="5.341 3.083 2.579 -5.341 3.083 2.579 0.000 -6.167 2.579" Properties=species:S:1:pos:R:3 pbc="T T T"
Ga 0.000 -2.581 3.297
Ga -2.235 1.291 3.297
Ga -2.235 -1.291 4.441
Ga 2.235 1.291 3.297
Ga 2.235 -1.291 4.441
Ga 0.000 2.581 4.441
Ni -2.053 -3.555 3.869
Ni -4.105 0.000 3.869
Ni -1.285 -0.742 2.228
Ni 1.285 -0.742 2.228
Ni 0.000 1.484 2.228
Ni 2.053 -3.555 3.869
Ni -2.053 3.555 3.869
Ni 0.000 -1.484 5.509
Ni -1.285 0.742 5.509
Ni 1.285 0.742 5.509
Ni 4.105 0.000 3.869
Ni 2.053 3.555 3.869
Au 0.000 0.000 0.000
```

For the energy relative to the elements, the calculation gives -117 kJ/mol of formula units.



VASP calculation (GGA-PBE) on Ga2Ni2Au after structural relaxation.

Structure (extended XYZ):
```
10
Lattice="7.016 0.000 0.000 0.000 7.016 0.000 0.000 0.000 2.810" Properties=species:S:1:pos:R:3 pbc="T T T"
Ga 1.148 2.360 0.000
Ga 2.360 5.868 0.000
Ga 4.656 1.148 0.000
Ga 5.868 4.656 0.000
Ni 0.926 4.434 1.405
Ni 2.582 0.926 1.405
Ni 4.434 6.090 1.405
Ni 6.090 2.582 1.405
Au 0.000 0.000 1.405
Au 3.508 3.508 1.405
```

For the energy relative to the elements, the calculation gives -133 kJ/mol of formula units. As for the offset from the most stable computed form: 0.0 kJ/mol of formula units.



VASP calculation (GGA-PBE) on Ga4Ni5Au after structural relaxation.

Structure (extended XYZ):
```
10
Lattice="2.960 0.000 0.000 0.000 2.960 0.000 0.000 0.000 14.621" Properties=species:S:1:pos:R:3 pbc="T T T"
Ga 0.000 0.000 1.415
Ga 0.000 0.000 4.277
Ga 0.000 0.000 10.344
Ga 0.000 0.000 13.206
Ni 1.480 1.480 0.000
Ni 1.480 1.480 2.810
Ni 1.480 1.480 5.567
Ni 1.480 1.480 9.054
Ni 1.480 1.480 11.810
Au 0.000 0.000 7.310
```

For the energy relative to the elements, the calculation gives -293 kJ/mol of formula units.



no.,magnetic moment (μB/cell)
1,0.0
2,0.0
3,0.0
4,0.0
5,0.0
6,0.0